Compound: CrIr2Ru
Source: Alexandria
Functional: GGA-PBE
Structure: optimized geometry

Cell and atoms, written as CIF:
```
data_CrIr2Ru
_chemical_formula_sum 'Cr1 Ir2 Ru1'
_symmetry_space_group_name_H-M 'P 1'
_symmetry_Int_Tables_number 1
_cell_length_a 4.664
_cell_length_b 4.664
_cell_length_c 4.658
_cell_angle_alpha 79.84
_cell_angle_beta 79.84
_cell_angle_gamma 33.68
loop_
_symmetry_equiv_pos_as_xyz
'x,y,z'
loop_
_atom_site_label
_atom_site_fract_x
_atom_site_fract_y
_atom_site_fract_z
_atom_site_occupancy
Ir1 0.751 0.751 0.743 1
Ir2 0.996 0.996 0.010 1
Ru1 0.503 0.503 0.498 1
Cr1 0.250 0.250 0.249 1
```

Properties
Space-group type: Cm, No. 8
Energy relative to the elements (eV per atom): -0.079

***

Compound: CrIr3Ru
Source: Alexandria
Functional: GGA-PBE
Structure: optimized geometry

Cell and atoms, written as CIF:
```
data_CrIr3Ru
_chemical_formula_sum 'Cr2 Ir6 Ru2'
_symmetry_space_group_name_H-M 'P 1'
_symmetry_Int_Tables_number 1
_cell_length_a 4.295
_cell_length_b 5.400
_cell_length_c 6.579
_cell_angle_alpha 101.94
_cell_angle_beta 109.05
_cell_angle_gamma 90.00
loop_
_symmetry_equiv_pos_as_xyz
'x,y,z'
loop_
_atom_site_label
_atom_site_fract_x
_atom_site_fract_y
_atom_site_fract_z
_atom_site_occupancy
Ru1 0.805 0.176 0.642 1
Ru2 0.239 0.402 0.512 1
Ir1 0.817 0.689 0.666 1
Ir2 0.419 0.233 0.872 1
Ir3 0.624 0.345 0.282 1
Ir4 0.026 0.549 0.085 1
Ir5 0.227 0.890 0.488 1
Ir6 0.018 0.030 0.069 1
Cr1 0.427 0.744 0.888 1
Cr2 0.617 0.834 0.266 1
```

Properties
Space-group type: C2/m, No. 12
Energy relative to the elements (eV per atom): 0.012